No. 1
Density functional theory data (PBE) for an optimized crystal structure of B2C.

Lattice parameters (Å, degrees): 4.4445 4.4445 8.3365 112.58 112.58 32.52
Fractional coordinates of all 12 atoms:
B 0.0000 0.0000 0.0000
B 0.1238 0.1238 0.8422
B 0.1295 0.1295 0.6320
B 0.2848 0.2848 0.4619
B 0.3819 0.3819 0.2749
B 0.5051 0.5051 0.4845
B 0.6181 0.6181 0.3308
B 0.7739 0.7739 0.9669
C 0.3310 0.3310 0.6781
C 0.5981 0.5981 0.1252
C 0.7883 0.7883 0.1629
C 0.9187 0.9187 0.7728

Properties
The energy relative to the elements is 41.1 kJ/mol of atoms. As for the distance to the lowest polymorph of the same formula: 5.56 kcal/mol of atoms. The volume is 6.762 A^3/atom.

No. 2
Density functional theory data (PBE) for an optimized crystal structure of MnAg.

Lattice parameters (Å, degrees): 8.0176 8.0176 3.3005 90.00 90.00 120.00
Fractional coordinates of all 12 atoms:
Mn 0.1039 0.5520 0.2500
Mn 0.4480 0.5520 0.2500
Mn 0.4480 0.8961 0.2500
Mn 0.5520 0.1039 0.7500
Mn 0.5520 0.4480 0.7500
Mn 0.8961 0.4480 0.7500
Ag 0.1602 0.3204 0.7500
Ag 0.1602 0.8398 0.7500
Ag 0.3204 0.1602 0.2500
Ag 0.6796 0.8398 0.7500
Ag 0.8398 0.1602 0.2500
Ag 0.8398 0.6796 0.2500

Properties
The energy relative to the elements is 54.1 kJ/mol of atoms. The volume is 15.311 A^3/atom.

No. 3
Density functional theory data (PBE) for an optimized crystal structure of AgSb2Ir2.

Lattice parameters (Å, degrees): 7.5184 7.5184 3.3828 90.00 90.00 90.00
Fractional coordinates of all 10 atoms:
Ag 0.0000 0.0000 0.0000
Ag 0.5000 0.5000 0.0000
Sb 0.1596 0.3404 0.5000
Sb 0.3404 0.8404 0.5000
Sb 0.6596 0.1596 0.5000
Sb 0.8404 0.6596 0.5000
Ir 0.1368 0.6368 0.0000
Ir 0.3632 0.1368 0.0000
Ir 0.6368 0.8632 0.0000
Ir 0.8632 0.3632 0.0000

Properties
As for the distance to the lowest polymorph of the same formula: 0.00 kcal/mol of atoms. As for the formation energy from raw total energies: 12 kJ/mol of atoms. The volume is 19.122 A^3/atom.

No. 4
Density functional theory data (PBE) for an optimized crystal structure of Ba2MnTc.

Lattice parameters (Å, degrees): 5.4104 5.4104 5.4104 60.00 60.00 60.00
Fractional coordinates of all 4 atoms:
Ba 0.0000 0.0000 0.0000
Ba 0.2500 0.2500 0.2500
Mn 0.5000 0.5000 0.5000
Tc 0.7500 0.7500 0.7500

Properties
The energy relative to the elements is 102.6 kJ/mol of atoms. As for the distance to the lowest polymorph of the same formula: 15.22 kcal/mol of atoms. The volume is 27.997 A^3/atom.

No. 5
Density functional theory data (PBE) for an optimized crystal structure of Ac5NdHo.

Lattice parameters (Å, degrees): 12.7501 12.7501 7.1804 93.72 93.72 148.21
Fractional coordinates of all 14 atoms:
Ac 0.1364 0.8636 0.7500
Ac 0.1891 0.2815 0.6606
Ac 0.2666 0.6737 0.4973
Ac 0.2815 0.1891 0.1606
Ac 0.3263 0.7334 0.0027
Ac 0.6737 0.2666 0.9973
Ac 0.7185 0.8109 0.8394
Ac 0.7334 0.3263 0.5027
Ac 0.8109 0.7185 0.3394
Ac 0.8636 0.1364 0.2500
Nd 0.1692 0.8308 0.2500
Nd 0.8308 0.1692 0.7500
Ho 0.4200 0.5800 0.2500
Ho 0.5800 0.4200 0.7500

Properties
The energy relative to the elements is 22.0 kJ/mol of atoms. The volume is 42.680 A^3/atom.

No. 6
Density functional theory data (PBE) for an optimized crystal structure of Pm2ThScS4.

Lattice parameters (Å, degrees): 6.8506 3.9325 6.9131 90.00 109.05 90.00
Fractional coordinates of all 8 atoms:
Pm 0.0000 0.0000 0.0000
Pm 0.0000 0.5000 0.5000
Th 0.5000 0.0000 0.5000
Sc 0.5000 0.5000 0.0000
S 0.2580 0.5000 0.2382
S 0.2686 0.0000 0.7693
S 0.7314 0.0000 0.2307
S 0.7420 0.5000 0.7618

Properties
As for the formation energy from raw total energies: -184 kJ/mol of atoms. The volume is 22.005 A^3/atom.

No. 7
Density functional theory data (PBE) for an optimized crystal structure of YInSn3.

Lattice parameters (Å, degrees): 5.5373 5.5373 5.5373 90.00 90.00 90.00
Fractional coordinates of all 5 atoms:
Y 0.0000 0.0000 0.0000
In 0.5000 0.5000 0.5000
Sn 0.0000 0.5000 0.5000
Sn 0.5000 0.0000 0.5000
Sn 0.5000 0.5000 0.0000

Properties
The energy relative to the elements is 42.2 kJ/mol of atoms. As for the distance to the lowest polymorph of the same formula: 16.93 kcal/mol of atoms. The volume is 33.957 A^3/atom.

No. 8
Density functional theory data (PBE) for an optimized crystal structure of AsAuCl3.

Lattice parameters (Å, degrees): 5.0183 5.0183 5.0183 90.00 90.00 90.00
Fractional coordinates of all 5 atoms:
As 0.0000 0.0000 0.0000
Au 0.5000 0.5000 0.5000
Cl 0.0000 0.0000 0.5000
Cl 0.0000 0.5000 0.0000
Cl 0.5000 0.0000 0.0000

Properties
As for the distance to the lowest polymorph of the same formula: 0.00 kcal/mol of atoms. As for the formation energy from raw total energies: 10 kJ/mol of atoms. The volume is 25.275 A^3/atom.

No. 9
Density functional theory data (PBE) for an optimized crystal structure of LiNdYNi.

Lattice parameters (Å, degrees): 5.0206 5.0206 5.0206 60.00 60.00 60.00
Fractional coordinates of all 4 atoms:
Li 0.0000 0.0000 0.0000
Nd 0.7500 0.7500 0.7500
Y 0.2500 0.2500 0.2500
Ni 0.5000 0.5000 0.5000

Properties
The energy relative to the elements is -8.3 kJ/mol of atoms. The volume is 22.371 A^3/atom.

No. 10
Density functional theory data (PBE) for an optimized crystal structure of LiMgAsIr.

Lattice parameters (Å, degrees): 4.3927 4.3927 4.3927 60.00 60.00 60.00
Fractional coordinates of all 4 atoms:
Li 0.0000 0.0000 0.0000
Mg 0.2500 0.2500 0.2500
As 0.7500 0.7500 0.7500
Ir 0.5000 0.5000 0.5000

Properties
The energy relative to the elements is -36.6 kJ/mol of atoms. The volume is 14.984 A^3/atom.